Computed, not measured: LiSnHg after structural relaxation at the PBE level of DFT.

a b c (Å): 5.053 5.053 3.142
angles (deg): 90.00 90.00 120.00
Positions (direct):
Li1 0.000 0.000 0.000
Sn1 0.333 0.667 0.500
Hg1 0.667 0.333 0.500

Its uncorrected energy is -2.252 eV/atom. The crystal system is hexagonal. For the total magnetization, the calculation gives 0.0 μB/f.u. The calculation puts the energy of formation at -52 kJ/mol of formula units.